The following is a DFT calculation (PBE) of a relaxed La2U2Pd15 crystal.

Properties
Calculated density ... 11.15 g cm⁻³
Energy of formation ... -0.501 eV/atom
Symmetry ... R-3m, No. 166
Spin magnetization ... 0.00 μB per atom
Energy ... -6.308 eV/atom

Unit cell a=7.127 b=7.127 c=7.127 alpha=81.02 beta=81.02 gamma=81.02
Atoms (fractional coordinates):
La: 0.146 0.146 0.146
La: 0.854 0.854 0.854
U: 0.415 0.415 0.415
U: 0.585 0.585 0.585
Pd: 0.000 0.500 0.500
Pd: 0.159 0.159 0.658
Pd: 0.159 0.658 0.159
Pd: 0.185 0.500 0.815
Pd: 0.185 0.815 0.500
Pd: 0.342 0.841 0.841
Pd: 0.500 0.000 0.500
Pd: 0.500 0.185 0.815
Pd: 0.500 0.500 0.000
Pd: 0.500 0.815 0.185
Pd: 0.658 0.159 0.159
Pd: 0.815 0.185 0.500
Pd: 0.815 0.500 0.185
Pd: 0.841 0.342 0.841
Pd: 0.841 0.841 0.342